Entry from Alexandria via LeMat-Bulk: a geometry-optimized KNdSm2Se4 structure (PBE-GGA).

Unit cell a=7.4272 b=4.2104 c=7.4505 alpha=90.00 beta=108.59 gamma=90.00
Closest atoms and distances in Å follow each position.
Space group P2/m (No. 10)
Unique sites:
K 0.0000 0.0000 0.0000 (multiplicity 1)  6 Se 3.09-3.12
Nd 0.5000 0.5000 0.0000 (multiplicity 1)  6 Se 3.04-3.05
Sm 0.0000 0.5000 0.5000 (multiplicity 1)  6 Se 3.00
Sm 0.5000 0.0000 0.5000 (multiplicity 1)  6 Se 2.93-2.95
Se 0.2523 0.0000 0.7411 (multiplicity 2)  3 Sm 2.95-3.00, 2 Nd 3.05, 1 K 3.09
Se 0.2639 0.5000 0.2674 (multiplicity 2)  3 Sm 2.93-3.00, 1 Nd 3.04, 2 K 3.12

E_form (uncorrected): -169.43 kJ/mol of atoms
N(E_F): 2.8 states/eV per cell
Volume: 220.8 Å³/cell
VASP energy: -5.4112 eV/atom